# 1
Material: PmNd4Sc2
Method: DFT, PBE
State: relaxed

```
PmNd4Sc2
1.0
-2.270 1.681 -8.255
-6.149 -1.663 1.353
-0.516 6.731 5.931
Pm Nd Sc
2 8 4
Cartesian
-5.313 0.949 0.527
-3.622 5.800 -1.498
-4.493 1.713 -2.836
-5.174 4.466 5.483
-3.761 2.283 -6.454
-1.494 2.524 -3.496
-1.840 3.393 3.644
-7.442 4.224 2.524
-4.443 5.036 1.865
-7.095 3.355 -4.615
-6.426 0.102 -5.573
-2.510 6.647 4.602
-2.576 3.004 -0.180
-6.359 3.745 -0.791
```

Calculated values
- excess energy over the best structure of this formula in the dataset (eV per atom) = 0.000
- mass density (g cm⁻³) = 6.0
- ΔE_f (eV/atom) = 0.18
- D(E_F) (states/eV/atom) = 1.86

***

# 2
Material: Pm4Nd5Sc3
Method: DFT, PBE
State: relaxed

```
Pm4Nd5Sc3
1.0
5.568 0.000 0.000
2.784 5.206 -0.618
2.784 1.652 13.244
Pm Nd Sc
4 5 3
Cartesian
2.784 1.481 11.489
2.784 1.066 8.116
8.351 5.791 4.511
8.351 5.376 1.138
8.351 5.161 12.808
5.568 3.429 6.313
2.784 2.034 3.346
8.351 4.823 9.280
2.784 1.696 -0.181
5.568 3.032 9.626
2.784 3.429 6.313
5.568 3.826 3.000
```

Calculated values
- mass density (g cm⁻³) = 6.1
- ΔE_f (eV/atom) = 0.21
- D(E_F) (states/eV/atom) = 1.46

***

# 3
Material: Pm4Nd3Sc
Method: DFT, PBE
State: relaxed

```
Pm4Nd3Sc
1.0
-1.067 0.907 -6.163
6.530 -2.935 -1.563
-4.908 -10.547 -0.702
Pm Nd Sc
8 6 2
Cartesian
5.540 -2.425 -2.307
0.150 0.207 -4.160
-1.410 -2.048 -6.448
3.914 -4.825 -4.538
3.088 -7.704 -2.592
-2.325 -5.053 -4.572
1.525 -9.958 -4.880
-3.930 -7.463 -6.808
3.385 -1.245 -4.963
1.791 -3.562 -7.172
0.731 -3.326 -3.713
-0.158 -6.243 -1.844
-1.713 -8.578 -4.063
-0.674 -8.858 -7.524
2.303 -0.973 -1.480
0.930 -6.519 -5.299
```

Calculated values
- excess energy over the best structure of this formula in the dataset (eV per atom) = 0.000
- mass density (g cm⁻³) = 6.5
- ΔE_f (eV/atom) = 0.05
- D(E_F) (states/eV/atom) = 1.75

***

# 4
Material: Pm6Nd3Sc
Method: DFT, PBE
State: relaxed

```
Pm6Nd3Sc
1.0
-6.570 -1.862 7.290
2.462 1.775 9.516
-2.769 3.645 5.279
Pm Nd Sc
6 3 1
Cartesian
-5.153 0.084 13.581
-0.027 1.882 11.821
-3.882 0.079 8.014
-1.486 3.138 8.502
-6.783 1.271 10.224
-2.878 3.109 14.209
-4.070 3.436 10.897
-2.999 0.625 11.144
-2.370 2.598 5.371
-4.739 1.568 16.661
```

Calculated values
- excess energy over the best structure of this formula in the dataset (eV per atom) = 0.076
- mass density (g cm⁻³) = 6.6
- ΔE_f (eV/atom) = 0.21
- D(E_F) (states/eV/atom) = 1.95

***

# 5
Material: Pm2Nd4Sc3
Method: DFT, PBE
State: relaxed

```
Pm2Nd4Sc3
1.0
5.024 0.000 0.001
2.511 5.476 1.021
-0.001 1.411 10.463
Pm Nd Sc
2 4 3
Cartesian
2.510 2.942 8.424
5.023 3.945 3.062
5.022 4.912 9.963
2.510 5.892 4.539
5.023 0.995 6.946
2.511 1.975 1.523
2.510 2.430 5.032
0.000 0.000 0.000
5.023 4.457 6.454
```

Calculated values
- mass density (g cm⁻³) = 5.9
- ΔE_f (eV/atom) = 0.05
- D(E_F) (states/eV/atom) = 1.46

***

# 6
Material: Pm7Nd2Sc2
Method: DFT, PBE
State: relaxed

```
Pm7Nd2Sc2
1.0
6.083 -0.483 -2.713
-0.610 8.554 0.070
-4.247 0.110 8.964
Pm Nd Sc
7 2 2
Cartesian
2.154 2.620 -0.650
2.194 5.213 1.494
-0.927 5.562 6.971
-0.967 2.968 4.827
1.660 1.676 2.930
0.000 0.000 0.000
-0.433 6.506 3.391
-2.700 8.250 6.223
3.926 -0.068 0.098
1.873 4.829 4.984
-0.647 3.353 1.338
```

Calculated values
- excess energy over the best structure of this formula in the dataset (eV per atom) = 0.000
- mass density (g cm⁻³) = 6.3
- ΔE_f (eV/atom) = 0.11
- D(E_F) (states/eV/atom) = 1.55

***

# 7
Material: Pm2NdSc6
Method: DFT, PBE
State: relaxed

```
Pm2NdSc6
1.0
3.288 -0.259 -0.208
0.814 9.187 1.391
0.814 3.351 8.666
Pm Nd Sc
2 1 6
Cartesian
3.830 3.920 3.144
1.086 8.359 6.705
0.000 0.000 0.000
2.729 10.176 4.180
2.188 2.103 5.670
2.188 5.991 0.823
2.458 5.170 6.134
2.458 7.109 3.716
2.729 6.288 9.026
```

Calculated values
- mass density (g cm⁻³) = 4.7
- ΔE_f (eV/atom) = 0.08
- D(E_F) (states/eV/atom) = 1.78

***

# 8
Material: Pm8NdSc2
Method: DFT, PBE
State: relaxed

```
Pm8NdSc2
1.0
-2.515 2.296 -4.347
3.347 -5.828 -5.015
-6.679 -2.844 5.858
Pm Nd Sc
8 1 2
Cartesian
-0.708 -4.274 -5.357
-3.782 -4.464 -0.179
-2.032 -1.495 0.381
1.007 -1.753 -1.509
-3.816 -4.881 -3.885
-2.065 -1.912 -3.325
-5.139 -2.101 1.854
-6.855 -4.623 -1.995
-1.258 1.148 -2.173
-0.831 -4.760 -2.034
-5.017 -1.616 -1.470
```

Calculated values
- excess energy over the best structure of this formula in the dataset (eV per atom) = 0.000
- mass density (g cm⁻³) = 6.4
- ΔE_f (eV/atom) = 0.12
- D(E_F) (states/eV/atom) = 1.54

***

# 9
Material: PmNdSc6
Method: DFT, PBE
State: relaxed

```
PmNdSc6
1.0
-4.352 -0.281 3.117
0.576 -6.801 0.191
3.129 3.823 4.713
Pm Nd Sc
1 1 6
Cartesian
2.916 2.937 4.337
-0.110 -0.743 4.388
1.329 1.078 1.953
3.241 -0.459 4.484
1.627 -2.430 2.052
-1.653 -2.705 2.058
0.143 -4.148 4.434
-1.374 -6.002 2.150
```

Calculated values
- mass density (g cm⁻³) = 4.3
- ΔE_f (eV/atom) = 0.04
- D(E_F) (states/eV/atom) = 2.04

***

# 10
Material: Pm2NdSc
Method: DFT, PBE
State: relaxed

```
Pm2NdSc
1.0
-1.630 0.006 -5.919
-2.653 -2.302 0.731
-2.532 5.573 -0.407
Pm Nd Sc
2 1 1
Cartesian
-5.022 1.942 -2.793
-2.128 0.825 -4.652
-2.730 -0.204 -1.264
-2.881 3.094 -0.196
```

Calculated values
- excess energy over the best structure of this formula in the dataset (eV per atom) = 0.007
- mass density (g cm⁻³) = 6.3
- ΔE_f (eV/atom) = 0.04
- D(E_F) (states/eV/atom) = 1.35

***

# 11
Material: Pm2Nd8Sc
Method: DFT, PBE
State: relaxed

```
Pm2Nd8Sc
1.0
-3.306 5.385 2.517
-6.577 -1.331 7.551
-0.662 1.148 10.014
Pm Nd Sc
2 8 1
Cartesian
-7.749 2.850 15.737
-2.796 2.352 4.345
-3.531 1.725 11.349
-4.169 4.670 9.917
-5.995 0.718 13.673
-4.549 4.485 6.409
-6.375 0.533 10.164
-7.014 3.477 8.733
-6.732 3.820 12.319
-3.813 1.383 7.763
0.000 0.000 0.000
```

Calculated values
- excess energy over the best structure of this formula in the dataset (eV per atom) = 0.048
- mass density (g cm⁻³) = 6.5
- ΔE_f (eV/atom) = 0.16
- D(E_F) (states/eV/atom) = 1.64

***

# 12
Material: Pm2NdSc3
Method: DFT, PBE
State: relaxed

```
Pm2NdSc3
1.0
10.031 0.000 5.748
3.623 5.844 5.305
1.831 0.988 8.431
Pm Nd Sc
4 2 6
Cartesian
10.780 2.514 10.081
6.844 0.902 5.323
8.641 5.930 14.161
4.705 4.318 9.402
2.727 3.416 6.868
0.000 0.000 0.000
7.295 2.202 10.524
8.190 4.630 8.960
3.415 0.506 5.667
11.174 3.898 15.380
12.070 6.326 13.817
4.311 2.934 4.103
```

Calculated values
- excess energy over the best structure of this formula in the dataset (eV per atom) = 0.269
- mass density (g cm⁻³) = 4.7
- ΔE_f (eV/atom) = 0.53
- D(E_F) (states/eV/atom) = 1.83

***

# 13
Material: PmNd6Sc3
Method: DFT, PBE
State: relaxed

```
PmNd6Sc3
1.0
8.669 0.000 4.600
3.114 8.090 4.600
2.195 1.507 6.332
Pm Nd Sc
1 6 3
Cartesian
11.263 7.734 10.180
10.211 5.004 8.629
5.518 7.732 7.133
6.275 2.372 5.581
3.587 4.441 7.218
8.315 1.753 8.748
7.503 7.131 10.276
6.470 4.443 8.744
7.720 5.301 6.389
3.025 2.077 4.767
```

Calculated values
- mass density (g cm⁻³) = 5.9
- ΔE_f (eV/atom) = 0.17
- D(E_F) (states/eV/atom) = 1.81

***

# 14
Material: Pm5Nd5Sc2
Method: DFT, PBE
State: relaxed

```
Pm5Nd5Sc2
1.0
-1.655 -4.147 -2.423
4.209 -6.351 2.671
-6.064 -5.001 7.374
Pm Nd Sc
5 5 2
Cartesian
-0.926 -11.226 3.871
-1.819 -9.521 6.887
-1.690 -5.978 0.736
-2.583 -4.273 3.752
0.000 0.000 0.000
-1.754 -7.749 3.812
-5.199 -8.510 7.465
1.620 -8.770 3.254
-5.129 -6.728 4.369
1.690 -6.989 0.158
-4.316 -10.204 4.437
0.808 -5.295 3.186
```

Calculated values
- mass density (g cm⁻³) = 6.4
- ΔE_f (eV/atom) = 0.04
- D(E_F) (states/eV/atom) = 1.56

***

# 15
Material: Pm7NdSc3
Method: DFT, PBE
State: relaxed

```
Pm7NdSc3
1.0
5.838 -0.107 -0.138
-2.758 7.848 0.787
-2.758 -1.139 7.804
Pm Nd Sc
7 1 3
Cartesian
0.061 1.296 1.660
0.101 -0.588 4.668
0.222 1.930 7.892
0.101 4.671 0.562
-2.758 3.354 4.295
0.222 7.188 3.786
0.262 5.305 6.793
0.162 3.300 4.227
-2.758 5.973 2.251
2.919 -0.054 -0.069
-2.758 0.736 6.340
```

Calculated values
- mass density (g cm⁻³) = 6.0
- ΔE_f (eV/atom) = 0.23
- D(E_F) (states/eV/atom) = 1.43

***

# 16
Material: Pm8Nd6Sc
Method: DFT, PBE
State: relaxed

```
Pm8Nd6Sc
1.0
7.931 0.104 3.805
2.437 7.548 3.805
0.141 0.104 8.795
Pm Nd Sc
8 6 1
Cartesian
2.748 5.508 9.788
4.157 6.753 6.796
2.962 1.981 9.816
6.071 4.480 9.477
4.438 3.275 6.928
7.546 5.774 6.589
6.352 1.002 9.610
7.760 2.247 6.617
8.375 3.629 11.893
2.188 0.823 6.039
4.888 1.848 3.825
5.621 5.907 12.580
8.321 6.933 10.366
2.134 4.126 4.512
0.000 0.000 0.000
```

Calculated values
- excess energy over the best structure of this formula in the dataset (eV per atom) = 0.000
- mass density (g cm⁻³) = 6.6
- ΔE_f (eV/atom) = 0.11
- D(E_F) (states/eV/atom) = 1.45

***

# 17
Material: Pm5Nd2Sc2
Method: DFT, PBE
State: relaxed

```
Pm5Nd2Sc2
1.0
-3.507 0.836 0.280
-3.823 -9.110 2.657
-1.691 -2.311 9.055
Pm Nd Sc
5 2 2
Cartesian
-5.541 -9.540 5.771
-3.480 -1.045 6.222
-4.831 -8.171 10.565
-4.190 -2.414 1.428
0.000 0.000 0.000
-2.445 -3.898 4.352
-6.575 -6.687 7.641
-4.147 -4.240 7.395
-4.873 -6.346 4.598
```

Calculated values
- excess energy over the best structure of this formula in the dataset (eV per atom) = 0.000
- mass density (g cm⁻³) = 6.3
- ΔE_f (eV/atom) = 0.03
- D(E_F) (states/eV/atom) = 1.48

***

# 18
Material: Pm5Nd4Sc
Method: DFT, PBE
State: relaxed

```
Pm5Nd4Sc
1.0
-2.276 -2.274 -1.732
1.610 -2.849 1.626
-16.377 1.729 19.250
Pm Nd Sc
5 4 1
Cartesian
-1.800 -2.407 1.671
-5.159 -2.052 5.619
-8.521 -1.697 9.572
-11.884 -1.342 13.524
-15.243 -0.988 17.472
-3.147 0.332 3.699
-6.507 0.687 7.649
-9.870 1.042 11.601
-13.230 1.397 15.551
0.000 0.000 0.000
```

Calculated values
- excess energy over the best structure of this formula in the dataset (eV per atom) = 0.000
- mass density (g cm⁻³) = 6.6
- ΔE_f (eV/atom) = 0.03
- D(E_F) (states/eV/atom) = 1.50

***

# 19
Material: Pm5Nd6Sc
Method: DFT, PBE
State: relaxed

```
Pm5Nd6Sc
1.0
-2.427 4.529 -0.393
-9.034 -4.748 1.014
6.128 0.986 7.337
Sc Nd Pm
1 6 5
Cartesian
0.000 0.000 0.000
-3.238 1.648 5.187
1.344 4.057 4.673
-8.038 -1.323 0.569
-3.423 1.104 0.051
-6.677 -3.289 3.285
-2.095 -0.880 2.771
-1.082 2.554 2.325
0.265 0.585 5.104
-4.517 -2.374 0.507
-5.598 0.182 2.853
-4.251 -1.786 5.633
```

Calculated values
- mass density (g cm⁻³) = 6.7
- ΔE_f (eV/atom) = 0.02
- D(E_F) (states/eV/atom) = 1.50

***

# 20
Material: Pm4Nd4Sc
Method: DFT, PBE
State: relaxed

```
Pm4Nd4Sc
1.0
-4.763 1.443 -1.175
-4.845 -6.469 0.566
-3.708 2.362 6.805
Pm Nd Sc
4 4 1
Cartesian
-6.017 -0.393 1.654
-7.299 -2.271 4.543
-4.468 -3.546 2.630
-8.847 0.882 3.566
-6.419 -3.393 -0.398
-6.896 0.729 6.595
-10.499 -3.922 4.363
-2.816 1.258 1.834
0.000 0.000 0.000
```

Calculated values
- mass density (g cm⁻³) = 6.6
- ΔE_f (eV/atom) = 0.03
- D(E_F) (states/eV/atom) = 1.52